1.
8
Lattice="10.223 -2.027 0.000 10.223 2.027 0.000 -1.231 0.000 4.876" Properties=species:S:1:pos:R:3 comment="Rb3BrO4 GGA-PBE optimized geometry" total_energy_ev_per_atom=-4.039 e_form_raw_ev_per_fu=-7.90 crystal_system=monoclinic pbc="T T T"
Rb 0.000 0.000 0.000
Rb 2.522 0.000 3.234
Rb 16.694 0.000 1.642
Br 9.608 0.000 2.438
O 5.160 0.000 3.901
O 6.471 0.000 4.244
O 12.745 0.000 0.633
O 14.057 0.000 0.975

***

2.
12
Lattice="2.815 -14.001 0.000 2.815 14.001 0.000 0.000 0.000 5.471" Properties=species:S:1:pos:R:3 comment="Rb7Br3O2 GGA-PBE optimized geometry" total_energy_ev_per_atom=-3.134 e_form_raw_ev_per_fu=-15.90 crystal_system=orthorhombic polymorph_energy_mev_per_atom=19.5 pbc="T T T"
Rb 0.000 0.000 0.000
Rb 2.815 11.232 2.735
Rb 2.815 8.552 0.000
Rb 2.815 2.741 0.000
Rb 2.815 -2.741 0.000
Rb 2.815 -8.552 0.000
Rb 2.815 -11.232 2.735
Br 2.815 5.170 2.735
Br 2.815 0.000 2.735
Br 2.815 -5.170 2.735
O 2.815 11.173 0.000
O 2.815 -11.173 0.000

***

3.
20
Lattice="6.746 3.895 5.409 -6.746 3.895 5.409 0.000 -7.789 5.409" Properties=species:S:1:pos:R:3 comment="Rb6Br3O GGA-PBE optimized geometry" total_energy_ev_per_atom=-2.899 e_form_raw_ev_per_fu=-13.21 crystal_system=trigonal pbc="T T T"
Rb -5.905 -1.797 9.220
Rb -1.396 -6.012 7.008
Rb -1.396 -1.777 6.516
Rb -4.509 4.215 7.008
Rb -0.841 2.097 6.516
Rb -2.237 0.320 9.713
Rb 2.237 -0.320 6.516
Rb 0.841 -2.097 9.713
Rb 4.509 -4.215 9.220
Rb 1.396 1.777 9.713
Rb 1.396 6.012 9.220
Rb 5.905 1.797 7.008
Br -4.225 0.471 6.762
Br -2.520 -3.424 9.467
Br 1.705 -3.895 6.762
Br -1.705 3.895 9.467
Br 2.520 3.424 6.762
Br 4.225 -0.471 9.467
O 0.000 0.000 0.000
O 0.000 0.000 8.114

***

4.
18
Lattice="7.065 -3.394 0.000 7.065 3.394 0.000 -4.630 0.000 7.245" Properties=species:S:1:pos:R:3 comment="RbBr2O6 GGA-PBE optimized geometry" total_energy_ev_per_atom=-3.922 e_form_raw_ev_per_fu=-1.23 crystal_system=monoclinic pbc="T T T"
Rb 3.592 2.982 5.434
Rb 5.907 -2.982 1.811
Br 0.522 0.358 6.554
Br 2.837 -0.358 2.932
Br 6.662 0.358 4.313
Br 8.977 -0.358 0.691
O -0.813 1.075 5.822
O 1.513 1.586 7.112
O 2.283 0.501 4.259
O 5.670 1.586 3.756
O 1.503 -1.075 2.199
O 4.598 -0.501 0.637
O 4.900 0.501 6.609
O 7.996 1.075 5.046
O 3.828 -1.586 3.489
O 7.216 -0.501 2.986
O 7.986 -1.586 0.133
O 10.311 -1.075 1.423